[1]
Below is an optimized crystal structure of Cs2AlCrS4, with properties calculated at the PBE level.

Output
* DFT total energy: -5.03 eV per atom
* symmetry: No. 70
* raw formation energy: -1.086 eV per atom
* density of states at the Fermi level: 0.09 states/eV/atom

Cell lengths 6.0099, 7.5908, 12.7917 Å; angles 84.66, 76.41, 66.68 degrees
Last column: nearest neighbours and their distance in Å.
Fractional positions:
1 S 0.4562 0.6748 0.4040  1 Al 2.26, 1 Cr 2.29
2 Cs 0.1766 0.0000 0.6467  8 S 3.75-3.84
3 Cs 0.8234 0.0000 0.3533  8 S 3.75-3.84
4 Cr 0.7500 0.5000 0.5000  4 S 2.29
5 Cr 0.0000 0.0000 0.0000  4 S 2.29
6 S 0.6103 0.1748 0.0960  1 Al 2.26, 1 Cr 2.29
7 S 0.8810 0.8252 0.9040  1 Al 2.26, 1 Cr 2.29
8 Cs 0.5734 0.5000 0.8533  8 S 3.75-3.84
9 Cs 0.9266 0.5000 0.1467  8 S 3.75-3.84
10 Al 0.2500 0.5000 0.5000  4 S 2.26
11 Al 0.5000 0.0000 0.0000  4 S 2.26
12 S 0.5351 0.3252 0.5960  1 Al 2.26, 1 Cr 2.29
13 S 0.2149 0.1748 0.9040  1 Al 2.26, 1 Cr 2.29
14 S 0.8690 0.6748 0.5960  1 Al 2.26, 1 Cr 2.29
15 S 0.1397 0.3252 0.4040  1 Al 2.26, 1 Cr 2.29
16 S 0.2938 0.8252 0.0960  1 Al 2.26, 1 Cr 2.29

[2]
Below is an optimized crystal structure of Cs2AlCrSb, with properties calculated at the PBE level.

Output
* DFT total energy: -3.26 eV per atom
* symmetry: No. 123
* raw formation energy: 0.575 eV per atom
* density of states at the Fermi level: 0.79 states/eV/atom

Cell lengths 7.0103, 5.1122, 7.0103 Å; angles 90.00, 90.00, 90.00 degrees
Last column: nearest neighbours and their distance in Å.
Fractional positions:
1 Al 0.5000 0.5000 0.5000  8 Cs 4.34
2 Sb 0.0000 0.5000 0.0000  2 Cr 2.56
3 Cs 0.5000 0.0000 0.0000  2 Cr 3.51
4 Cs 0.0000 0.0000 0.5000  2 Cr 3.51
5 Cr 0.0000 0.0000 0.0000  2 Sb 2.56

[3]
Below is an optimized crystal structure of Cs2AlCrSe4, with properties calculated at the PBE level.

Output
* DFT total energy: -4.59 eV per atom
* symmetry: No. 70
* raw formation energy: -0.963 eV per atom
* density of states at the Fermi level: 0.21 states/eV/atom

Cell lengths 6.3027, 7.8251, 13.2037 Å; angles 84.48, 76.19, 66.25 degrees
Last column: nearest neighbours and their distance in Å.
Fractional positions:
1 Cs 0.9281 0.5000 0.1438  8 Se 3.87-3.95, 2 Cr 4.33, 2 Al 4.33
2 Se 0.1444 0.3189 0.3994  1 Al 2.40, 1 Cr 2.43
3 Cr 0.0000 0.0000 0.0000  4 Se 2.43
4 Al 0.2500 0.5000 0.5000  4 Se 2.40
5 Se 0.8628 0.6811 0.6006  1 Al 2.40, 1 Cr 2.43
6 Cs 0.8219 0.0000 0.3562  8 Se 3.87-3.95, 2 Cr 4.33, 2 Al 4.33
7 Se 0.4561 0.6811 0.3994  1 Al 2.40, 1 Cr 2.43
8 Se 0.5366 0.3189 0.6006  1 Al 2.40, 1 Cr 2.43
9 Se 0.2939 0.8189 0.1006  1 Al 2.40, 1 Cr 2.43
10 Cs 0.1781 0.0000 0.6438  8 Se 3.87-3.95, 2 Al 4.33, 2 Cr 4.33
11 Cs 0.5719 0.5000 0.8562  8 Se 3.87-3.95, 2 Al 4.33, 2 Cr 4.33
12 Cr 0.7500 0.5000 0.5000  4 Se 2.43
13 Al 0.5000 0.0000 0.0000  4 Se 2.40
14 Se 0.2134 0.1811 0.8994  1 Al 2.40, 1 Cr 2.43
15 Se 0.6056 0.1811 0.1006  1 Al 2.40, 1 Cr 2.43
16 Se 0.8872 0.8189 0.8994  1 Al 2.40, 1 Cr 2.43

[4]
Below is an optimized crystal structure of CsAlCrSe4, with properties calculated at the PBE level.

Output
* DFT total energy: -4.74 eV per atom
* symmetry: No. 11
* raw formation energy: -0.719 eV per atom
* density of states at the Fermi level: 0.23 states/eV/atom

Cell lengths 6.5205, 6.9158, 10.7647 Å; angles 90.00, 122.80, 90.00 degrees
Last column: nearest neighbours and their distance in Å.
Fractional positions:
1 Cr 0.2005 0.2500 0.5363  6 Se 2.44-2.61
2 Se 0.6225 0.2500 0.7881  1 Al 2.37, 1 Cr 2.61
3 Al 0.7800 0.2500 0.6348  4 Se 2.36-2.45
4 Cr 0.7995 0.7500 0.4637  6 Se 2.44-2.61
5 Cs 0.3290 0.2500 0.0552  6 Se 3.50-3.89
6 Se 0.0739 0.0041 0.6646  1 Al 2.45, 2 Cr 2.59-2.60
7 Al 0.2200 0.7500 0.3652  4 Se 2.36-2.45
8 Se 0.3775 0.7500 0.2119  1 Al 2.37, 1 Cr 2.61
9 Se 0.0739 0.4959 0.6646  1 Al 2.45, 2 Cr 2.59-2.60
10 Se 0.9261 0.9959 0.3354  1 Al 2.45, 2 Cr 2.59-2.60
11 Se 0.9261 0.5041 0.3354  1 Al 2.45, 2 Cr 2.59-2.60
12 Se 0.5931 0.7500 0.5965  1 Al 2.36, 1 Cr 2.44
13 Se 0.4069 0.2500 0.4035  1 Al 2.36, 1 Cr 2.44
14 Cs 0.6710 0.7500 0.9448  6 Se 3.50-3.89

[5]
Below is an optimized crystal structure of CsTaAl2Cr, with properties calculated at the PBE level.

Output
* DFT total energy: -4.41 eV per atom
* formation energy from the elements: 1.550 eV per atom
* symmetry: No. 123
* density of states at the Fermi level: 1.01 states/eV/atom

Cell lengths 5.2095, 5.9190, 5.2095 Å; angles 90.00, 90.00, 90.00 degrees
Last column: nearest neighbours and their distance in Å.
Fractional positions:
1 Al 0.0000 0.0000 0.5000  2 Ta 2.60
2 Cr 0.5000 0.5000 0.5000  4 Cs 3.68, 8 Al 3.94
3 Cs 0.0000 0.5000 0.0000  2 Ta 2.96
4 Ta 0.0000 0.0000 0.0000  4 Al 2.60
5 Al 0.5000 0.0000 0.0000  2 Ta 2.60

[6]
Below is an optimized crystal structure of Cs2AlCrTe4, with properties calculated at the PBE level.

Output
* DFT total energy: -4.10 eV per atom
* symmetry: No. 70
* raw formation energy: -0.646 eV per atom
* density of states at the Fermi level: 0.36 states/eV/atom

Cell lengths 6.7756, 8.1761, 13.9210 Å; angles 84.21, 75.92, 65.52 degrees
Last column: nearest neighbours and their distance in Å.
Fractional positions:
1 Te 0.6008 0.1873 0.1084  1 Al 2.63, 1 Cr 2.64
2 Cr 0.0000 0.0000 0.0000  4 Te 2.64
3 Cr 0.7500 0.5000 0.5000  4 Te 2.64
4 Te 0.2908 0.8127 0.1084  1 Al 2.63, 1 Cr 2.64
5 Cs 0.8189 0.0000 0.3622  8 Te 4.06-4.14, 2 Al 4.49, 2 Cr 4.49
6 Te 0.8965 0.8127 0.8916  1 Al 2.63, 1 Cr 2.64
7 Te 0.4592 0.6873 0.3916  1 Al 2.63, 1 Cr 2.64
8 Cs 0.1811 0.0000 0.6378  8 Te 4.06-4.14, 2 Cr 4.49, 2 Al 4.49
9 Te 0.8535 0.6873 0.6084  1 Al 2.63, 1 Cr 2.64
10 Te 0.1492 0.3127 0.3916  1 Al 2.63, 1 Cr 2.64
11 Al 0.2500 0.5000 0.5000  4 Te 2.63
12 Te 0.2119 0.1873 0.8916  1 Al 2.63, 1 Cr 2.64
13 Cs 0.5689 0.5000 0.8622  8 Te 4.06-4.14, 2 Cr 4.49, 2 Al 4.49
14 Te 0.5381 0.3127 0.6084  1 Al 2.63, 1 Cr 2.64
15 Cs 0.9311 0.5000 0.1378  8 Te 4.06-4.14, 2 Cr 4.49, 2 Al 4.49
16 Al 0.5000 0.0000 0.0000  4 Te 2.63

[7]
Below is an optimized crystal structure of CsAl2TlCr, with properties calculated at the PBE level.

Output
* DFT total energy: -3.34 eV per atom
* formation energy from the elements: 0.730 eV per atom
* symmetry: No. 123
* density of states at the Fermi level: 0.80 states/eV/atom

Cell lengths 5.1186, 6.2572, 5.1186 Å; angles 90.00, 90.00, 90.00 degrees
Last column: nearest neighbours and their distance in Å.
Fractional positions:
1 Cr 0.0000 0.0000 0.0000  4 Al 2.56
2 Al 0.5000 0.0000 0.0000  2 Cr 2.56
3 Al 0.0000 0.0000 0.5000  2 Cr 2.56
4 Tl 0.5000 0.5000 0.5000  4 Cs 3.62, 8 Al 4.04
5 Cs 0.0000 0.5000 0.0000  2 Cr 3.13

[8]
Below is an optimized crystal structure of Al2CrCu, with properties calculated at the PBE level.

Output
* DFT total energy: -5.36 eV per atom
* formation energy from the elements: -0.056 eV per atom
* symmetry: No. 225
* density of states at the Fermi level: 0.39 states/eV/atom

Cell lengths 4.2861, 4.2861, 4.2861 Å; angles 60.00, 60.00, 60.00 degrees
Last column: nearest neighbours and their distance in Å.
Fractional positions:
1 Al 0.7500 0.7500 0.7500  4 Cu 2.62, 4 Cr 2.62
2 Cu 0.5000 0.5000 0.5000  8 Al 2.62
3 Al 0.2500 0.2500 0.2500  4 Cu 2.62, 4 Cr 2.62
4 Cr 0.0000 0.0000 0.0000  8 Al 2.62

[9]
Below is an optimized crystal structure of Al2CrCu, with properties calculated at the PBE level.

Output
* DFT total energy: -5.31 eV per atom
* formation energy from the elements: -0.011 eV per atom
* symmetry: No. 166
* density of states at the Fermi level: 0.60 states/eV/atom

Cell lengths 8.6183, 8.6183, 8.6183 Å; angles 18.08, 18.08, 18.08 degrees
Last column: nearest neighbours and their distance in Å.
Fractional positions:
1 Cu 0.2500 0.2500 0.2500  6 Al 2.64, 6 Cu 2.71
2 Cr 0.7500 0.7500 0.7500  6 Al 2.62, 6 Cr 2.71
3 Al 0.0006 0.0006 0.0006  3 Cr 2.62, 3 Cu 2.64, 6 Al 2.71
4 Al 0.4994 0.4994 0.4994  3 Cr 2.62, 3 Cu 2.64, 6 Al 2.71

[10]
Below is an optimized crystal structure of Al2CrCu, with properties calculated at the PBE level.

Output
* DFT total energy: -5.46 eV per atom
* formation energy from the elements: -0.156 eV per atom
* symmetry: No. 123
* density of states at the Fermi level: 0.44 states/eV/atom

Cell lengths 3.9722, 3.3587, 3.9715 Å; angles 90.00, 90.00, 90.00 degrees
Last column: nearest neighbours and their distance in Å.
Fractional positions:
1 Al 0.0000 0.1251 0.8749  4 Cr 2.60, 4 Cu 2.60, 4 Al 2.81
2 Al 0.5000 0.1251 0.3751  4 Cu 2.60, 4 Cr 2.60, 4 Al 2.81
3 Cr 0.0000 0.6249 0.3750  8 Al 2.60, 4 Cu 2.81
4 Cu 0.5000 0.6250 0.8750  8 Al 2.60, 4 Cr 2.81

[11]
Below is an optimized crystal structure of Al4CrCu, with properties calculated at the PBE level.

Output
* DFT total energy: -4.52 eV per atom
* energy above the most stable polymorph in this dataset: 187 meV per atom
* formation energy from the elements: 0.263 eV per atom
* symmetry: No. 216
* density of states at the Fermi level: 0.53 states/eV/atom

Cell lengths 5.1149, 5.1149, 5.1149 Å; angles 60.00, 60.00, 60.00 degrees
Last column: nearest neighbours and their distance in Å.
Fractional positions:
1 Al 0.1265 0.6245 0.6245  6 Al 2.55-2.57
2 Cu 0.0000 0.0000 0.0000  12 Al 3.00, 4 Cr 3.13
3 Cr 0.2500 0.2500 0.2500  12 Al 3.00, 4 Cu 3.13
4 Al 0.6245 0.6245 0.6245  6 Al 2.55-2.57
5 Al 0.6245 0.1265 0.6245  6 Al 2.55-2.57
6 Al 0.6245 0.6245 0.1265  6 Al 2.55-2.57

[12]
Below is an optimized crystal structure of AlCrCu2, with properties calculated at the PBE level.

Output
* DFT total energy: -5.20 eV per atom
* formation energy from the elements: 0.187 eV per atom
* symmetry: No. 166
* density of states at the Fermi level: 0.94 states/eV/atom

Cell lengths 8.6866, 8.6866, 8.6866 Å; angles 17.28, 17.28, 17.28 degrees
Last column: nearest neighbours and their distance in Å.
Fractional positions:
1 Cu 0.9998 0.9998 0.9998  6 Cu 2.61, 3 Al 2.61, 3 Cr 2.62
2 Al 0.2500 0.2500 0.2500  6 Al 2.61, 6 Cu 2.61
3 Cu 0.5002 0.5002 0.5002  6 Cu 2.61, 3 Al 2.61, 3 Cr 2.62
4 Cr 0.7500 0.7500 0.7500  6 Cr 2.61, 6 Cu 2.62

[13]
Below is an optimized crystal structure of AlCr4Cu, with properties calculated at the PBE level.

Output
* DFT total energy: -7.44 eV per atom
* formation energy from the elements: 0.283 eV per atom
* symmetry: No. 216
* density of states at the Fermi level: 1.37 states/eV/atom

Cell lengths 4.7564, 4.7564, 4.7564 Å; angles 60.00, 60.00, 60.00 degrees
Last column: nearest neighbours and their distance in Å.
Fractional positions:
1 Cr 0.3759 0.3759 0.8723  6 Cr 2.36-2.40
2 Cr 0.8723 0.3759 0.3759  6 Cr 2.36-2.40
3 Cr 0.3759 0.3759 0.3759  6 Cr 2.36-2.40
4 Cr 0.3759 0.8723 0.3759  6 Cr 2.36-2.40
5 Al 0.0000 0.0000 0.0000  12 Cr 2.79, 4 Cu 2.91
6 Cu 0.7500 0.7500 0.7500  12 Cr 2.79, 4 Al 2.91